Entry from the Alexandria database: crystalline ScCdAg2 at its relaxed geometry (PBE-GGA).

a = 9.864 Å, b = 9.864 Å, c = 9.864 Å
α = 18.07°, β = 18.07°, γ = 18.07°
Atoms (fractional coordinates):
Sc: 0.000 0.000 0.000
Cd: 0.500 0.500 0.500
Ag: 0.251 0.251 0.251
Ag: 0.749 0.749 0.749

Values from the calculation:
DFT total energy = -3.284 eV per atom
V = 80.7 Å³ per cell

---

Entry from the Alexandria database: crystalline CaTcI2N at its relaxed geometry (PBE-GGA).

a = 6.063 Å, b = 6.063 Å, c = 4.399 Å
α = 90.00°, β = 90.00°, γ = 90.00°
Atoms (fractional coordinates):
Ca: 0.000 0.000 0.000
Tc: 0.500 0.500 0.500
I: 0.000 0.500 0.000
I: 0.500 0.000 0.000
N: 0.000 0.000 0.500

Values from the calculation:
V = 161.7 Å³ per cell
Formation energy from raw total energies = 0.947 eV per atom
Relative energy among the computed polymorphs = 1152 meV/atom

---

Entry from the Alexandria database: crystalline Ta2PtCl at its relaxed geometry (PBE-GGA).

a = 9.090 Å, b = 9.090 Å, c = 9.090 Å
α = 18.62°, β = 18.62°, γ = 18.62°
Atoms (fractional coordinates):
Ta: 0.248 0.248 0.248
Ta: 0.752 0.752 0.752
Pt: 0.000 0.000 0.000
Cl: 0.500 0.500 0.500

Values from the calculation:
V = 66.9 Å³ per cell
Formation energy from raw total energies = -0.099 eV per atom
Relative energy among the computed polymorphs = 187 meV/atom